Record 1
TiGe2BS: relaxed, GGA-PBE.

```
TiGe2BS
1.0
4.174 0.000 0.000
0.000 4.174 0.000
0.000 0.000 4.658
Ti Ge B S
1 2 1 1
direct
0.000 0.000 0.000
0.000 0.500 0.500
0.500 0.000 0.500
0.000 0.000 0.500
0.500 0.500 0.000
```

- Electronic total energy: -5.2293 eV per atom
- Formation energy from raw total energies: 358 meV per atom

---

Record 2
Tl2GeBS4: relaxed, GGA-PBE.

```
Tl2GeBS4
1.0
0.000 6.524 10.993
2.867 0.000 10.993
2.867 6.524 0.000
Tl Ge B S
4 2 2 8
direct
0.050 0.050 0.700
0.300 0.300 0.950
0.700 0.700 0.050
0.950 0.950 0.300
0.375 0.375 0.375
0.625 0.625 0.625
0.125 0.125 0.125
0.875 0.875 0.875
0.064 0.288 0.359
0.211 0.641 0.712
0.288 0.064 0.789
0.359 0.789 0.064
0.641 0.211 0.936
0.712 0.936 0.211
0.789 0.359 0.288
0.936 0.712 0.641
```

- Electronic total energy: -4.3856 eV per atom
- Formation energy from raw total energies: -318 meV per atom

---

Record 3
Zr2GeBS: relaxed, GGA-PBE.

```
Zr2GeBS
1.0
5.070 0.000 0.000
0.000 5.070 0.000
0.000 0.000 4.453
Zr Ge B S
2 1 1 1
direct
0.000 0.500 0.000
0.500 0.000 0.000
0.000 0.000 0.000
0.500 0.500 0.500
0.000 0.000 0.500
```

- Electronic total energy: -5.3080 eV per atom
- Formation energy from raw total energies: 1196 meV per atom

---

Record 4
GeBSb3: relaxed, GGA-PBE.

```
GeBSb3
1.0
4.854 0.000 0.000
0.000 4.854 0.000
0.000 0.000 4.854
Ge B Sb
1 1 3
direct
0.000 0.000 0.000
0.500 0.500 0.500
0.000 0.500 0.500
0.500 0.000 0.500
0.500 0.500 0.000
```

- Energy above the most stable polymorph in this dataset: 0.000 eV/atom
- Electronic total energy: -3.9656 eV per atom
- Formation energy from raw total energies: 767 meV per atom

---

Record 5
Ge2B2Sb: relaxed, GGA-PBE.

```
Ge2B2Sb
1.0
6.827 0.000 0.000
0.000 6.827 0.000
0.000 0.000 3.399
Ge B Sb
4 4 2
direct
0.149 0.351 0.000
0.351 0.851 0.000
0.649 0.149 0.000
0.851 0.649 0.000
0.088 0.588 0.500
0.412 0.088 0.500
0.588 0.912 0.500
0.912 0.412 0.500
0.000 0.000 0.500
0.500 0.500 0.500
```

- Energy above the most stable polymorph in this dataset: 0.076 eV/atom
- Electronic total energy: -4.4301 eV per atom
- Formation energy from raw total energies: 912 meV per atom

---

Record 6
GeB3Sb: relaxed, GGA-PBE.

```
GeB3Sb
1.0
4.218 0.000 0.000
0.000 4.218 0.000
0.000 0.000 4.218
Ge B Sb
1 3 1
direct
0.000 0.000 0.000
0.000 0.000 0.500
0.000 0.500 0.000
0.500 0.000 0.000
0.500 0.500 0.500
```

- Energy above the most stable polymorph in this dataset: 0.000 eV/atom
- Electronic total energy: -4.0271 eV per atom
- Formation energy from raw total energies: 1727 meV per atom

---

Record 7
Ge2B2Sb: relaxed, GGA-PBE.

```
Ge2B2Sb
1.0
4.187 0.000 0.000
0.000 4.187 0.000
0.000 0.000 8.664
Ge B Sb
4 4 2
direct
0.000 0.500 0.250
0.000 0.500 0.750
0.500 0.000 0.250
0.500 0.000 0.750
0.000 0.000 0.099
0.000 0.000 0.901
0.500 0.500 0.401
0.500 0.500 0.599
0.000 0.000 0.500
0.500 0.500 0.000
```

- Energy above the most stable polymorph in this dataset: 0.000 eV/atom
- Electronic total energy: -4.5061 eV per atom
- Formation energy from raw total energies: 836 meV per atom

---

Record 8
Ge3BSb: relaxed, GGA-PBE.

```
Ge3BSb
1.0
4.533 0.000 0.000
0.000 4.533 0.000
0.000 0.000 4.533
Ge B Sb
3 1 1
direct
0.000 0.000 0.500
0.000 0.500 0.000
0.500 0.000 0.000
0.000 0.000 0.000
0.500 0.500 0.500
```

- Energy above the most stable polymorph in this dataset: 0.000 eV/atom
- Electronic total energy: -4.3686 eV per atom
- Formation energy from raw total energies: 562 meV per atom

---

Record 9
GeBSb3: relaxed, GGA-PBE.

```
GeBSb3
1.0
5.339 0.000 0.000
0.000 5.339 0.000
0.000 0.000 5.339
Ge B Sb
1 1 3
direct
0.000 0.000 0.000
0.500 0.500 0.500
0.000 0.000 0.500
0.000 0.500 0.000
0.500 0.000 0.000
```

- Energy above the most stable polymorph in this dataset: 0.771 eV/atom
- Electronic total energy: -3.1944 eV per atom
- Formation energy from raw total energies: 1538 meV per atom

---

Record 10
GeB2Sb: relaxed, GGA-PBE.

```
GeB2Sb
1.0
6.131 0.000 0.000
0.000 6.131 0.000
0.000 0.000 6.131
Ge B Sb
4 8 4
direct
0.000 0.000 0.000
0.000 0.500 0.500
0.500 0.000 0.500
0.500 0.500 0.000
0.250 0.250 0.250
0.250 0.250 0.750
0.250 0.750 0.250
0.250 0.750 0.750
0.750 0.250 0.250
0.750 0.250 0.750
0.750 0.750 0.250
0.750 0.750 0.750
0.000 0.000 0.500
0.000 0.500 0.000
0.500 0.000 0.000
0.500 0.500 0.500
```

- Energy above the most stable polymorph in this dataset: 1.018 eV/atom
- Electronic total energy: -4.0379 eV per atom
- Formation energy from raw total energies: 1486 meV per atom

---

Record 11
Ge3BSb: relaxed, GGA-PBE.

```
Ge3BSb
1.0
5.310 0.000 0.000
0.000 5.310 0.000
0.000 0.000 5.310
Ge B Sb
3 1 1
direct
0.000 0.000 0.500
0.000 0.500 0.000
0.500 0.000 0.000
0.500 0.500 0.500
0.000 0.000 0.000
```

- Energy above the most stable polymorph in this dataset: 1.273 eV/atom
- Electronic total energy: -3.0954 eV per atom
- Formation energy from raw total energies: 1835 meV per atom

---

Record 12
GeB3Sb: relaxed, GGA-PBE.

```
GeB3Sb
1.0
4.478 0.000 0.000
0.000 4.478 0.000
0.000 0.000 4.478
Ge B Sb
1 3 1
direct
0.000 0.000 0.000
0.000 0.500 0.500
0.500 0.000 0.500
0.500 0.500 0.000
0.500 0.500 0.500
```

- Energy above the most stable polymorph in this dataset: 0.459 eV/atom
- Electronic total energy: -3.5685 eV per atom
- Formation energy from raw total energies: 2186 meV per atom

---

Record 13
GeB2Sb: relaxed, GGA-PBE.

```
GeB2Sb
1.0
5.088 0.000 0.000
0.000 5.088 0.000
0.000 0.000 10.026
Ge B Sb
4 8 4
direct
0.000 0.000 0.000
0.000 0.500 0.250
0.500 0.000 0.750
0.500 0.500 0.500
0.224 0.250 0.125
0.250 0.724 0.375
0.250 0.776 0.875
0.276 0.250 0.625
0.724 0.750 0.625
0.750 0.224 0.875
0.750 0.276 0.375
0.776 0.750 0.125
0.000 0.000 0.500
0.000 0.500 0.750
0.500 0.000 0.250
0.500 0.500 0.000
```

- Energy above the most stable polymorph in this dataset: 0.000 eV/atom
- Electronic total energy: -5.0557 eV per atom
- Formation energy from raw total energies: 468 meV per atom

---

Record 14
TcGe2BSb: relaxed, GGA-PBE.

```
TcGe2BSb
1.0
4.733 0.000 0.000
0.000 4.733 0.000
0.000 0.000 5.231
Tc Ge B Sb
1 2 1 1
direct
0.000 0.000 0.000
0.000 0.500 0.000
0.500 0.000 0.000
0.500 0.500 0.500
0.000 0.000 0.500
```

- Electronic total energy: -4.9281 eV per atom
- Formation energy from raw total energies: 1152 meV per atom

---

Record 15
ZrGeBSb2: relaxed, GGA-PBE.

```
ZrGeBSb2
1.0
5.556 0.000 0.000
0.000 5.556 0.000
0.000 0.000 4.502
Zr Ge B Sb
1 1 1 2
direct
0.000 0.000 0.000
0.500 0.500 0.500
0.000 0.000 0.500
0.000 0.500 0.000
0.500 0.000 0.000
```

- Electronic total energy: -4.7384 eV per atom
- Formation energy from raw total energies: 879 meV per atom

---

Record 16
ScGe3B: relaxed, GGA-PBE.

```
ScGe3B
1.0
4.448 0.000 0.000
0.000 4.448 0.000
0.000 0.000 4.448
Sc Ge B
1 3 1
direct
0.000 0.000 0.000
0.000 0.500 0.500
0.500 0.000 0.500
0.500 0.500 0.000
0.500 0.500 0.500
```

- Energy above the most stable polymorph in this dataset: 0.000 eV/atom
- Electronic total energy: -4.9810 eV per atom
- Formation energy: 0.391 eV per atom

---

Record 17
ScGe2B: relaxed, GGA-PBE.

```
ScGe2B
1.0
6.703 0.000 0.000
0.000 6.703 0.000
0.000 0.000 5.610
Sc Ge B
4 8 4
direct
0.000 0.000 0.000
0.000 0.500 0.250
0.500 0.000 0.750
0.500 0.500 0.500
0.174 0.750 0.625
0.250 0.174 0.375
0.250 0.326 0.875
0.326 0.750 0.125
0.674 0.250 0.125
0.750 0.674 0.875
0.750 0.826 0.375
0.826 0.250 0.625
0.000 0.000 0.500
0.000 0.500 0.750
0.500 0.000 0.250
0.500 0.500 0.000
```

- Electronic total energy: -5.6223 eV per atom
- Formation energy: -0.061 eV per atom

---

Record 18
Sc2GeB: relaxed, GGA-PBE.

```
Sc2GeB
1.0
6.882 0.000 0.000
0.000 6.882 0.000
0.000 0.000 5.960
Sc Ge B
8 4 4
direct
0.207 0.250 0.125
0.250 0.707 0.375
0.250 0.793 0.875
0.293 0.250 0.625
0.707 0.750 0.625
0.750 0.207 0.875
0.750 0.293 0.375
0.793 0.750 0.125
0.000 0.000 0.500
0.000 0.500 0.750
0.500 0.000 0.250
0.500 0.500 0.000
0.000 0.000 0.000
0.000 0.500 0.250
0.500 0.000 0.750
0.500 0.500 0.500
```

- Energy above the most stable polymorph in this dataset: 0.530 eV/atom
- Electronic total energy: -6.0198 eV per atom
- Formation energy: -0.030 eV per atom

---

Record 19
ScGe3B: relaxed, GGA-PBE.

```
ScGe3B
1.0
5.093 0.000 0.000
0.000 5.093 0.000
0.000 0.000 5.093
Sc Ge B
1 3 1
direct
0.000 0.000 0.000
0.000 0.000 0.500
0.000 0.500 0.000
0.500 0.000 0.000
0.500 0.500 0.500
```

- Energy above the most stable polymorph in this dataset: 1.008 eV/atom
- Electronic total energy: -3.9732 eV per atom
- Formation energy: 1.399 eV per atom

---

Record 20
ScGeB3: relaxed, GGA-PBE.

```
ScGeB3
1.0
4.084 0.000 0.000
0.000 4.084 0.000
0.000 0.000 4.084
Sc Ge B
1 1 3
direct
0.000 0.000 0.000
0.500 0.500 0.500
0.000 0.500 0.500
0.500 0.000 0.500
0.500 0.500 0.000
```

- Energy above the most stable polymorph in this dataset: 0.000 eV/atom
- Electronic total energy: -4.9049 eV per atom
- Formation energy: 1.291 eV per atom